Below is an optimized crystal structure of CeEr2ScBi4, with properties calculated at the GGA-PBE level.

Cell: 7.6878 4.4529 7.7063 Å, 90.00 109.46 90.00°
Closest atoms and distances in Å follow each position.
Fractional positions:
Ce 0.0000 0.0000 0.0000  6 Bi 3.18
Er 0.0000 0.5000 0.5000  6 Bi 3.19-3.20
Er 0.5000 0.0000 0.5000  6 Bi 3.11
Sc 0.5000 0.5000 0.0000  6 Bi 3.09-3.10
Bi 0.2599 0.5000 0.2519  1 Sc 3.09, 3 Er 3.11-3.19, 2 Ce 3.18
Bi 0.2606 0.0000 0.7552  2 Sc 3.10, 3 Er 3.11-3.20, 1 Ce 3.18
Bi 0.7394 0.0000 0.2448  2 Sc 3.10, 3 Er 3.11-3.20, 1 Ce 3.18
Bi 0.7401 0.5000 0.7481  1 Sc 3.09, 3 Er 3.11-3.19, 2 Ce 3.18

Properties
The formation energy is -752 meV per atom.


Below is an optimized crystal structure of CeErBiSe, with properties calculated at the GGA-PBE level.

Cell: 8.0591 8.0591 8.0591 Å, 30.18 30.18 30.18°
Closest atoms and distances in Å follow each position.
Fractional positions:
Ce 0.0000 0.0000 0.0000  3 Se 3.14, 3 Bi 3.20
Er 0.8391 0.8391 0.8391  3 Se 2.96, 3 Bi 3.06
Bi 0.4243 0.4243 0.4243  3 Er 3.06, 3 Ce 3.20
Se 0.2465 0.2465 0.2465  3 Er 2.96, 3 Ce 3.14

Properties
The energy relative to the elements, uncorrected comes out at -1.16 eV per atom.


Below is an optimized crystal structure of Ce2SmErBi5, with properties calculated at the GGA-PBE level.

Cell: 5.5464 5.5464 11.8445 Å, 90.00 90.00 90.00°
Closest atoms and distances in Å follow each position.
Fractional positions:
Ce 0.0000 0.0000 0.2159  1 Bi 3.37
Ce 0.0000 0.0000 0.7841  1 Bi 3.37
Sm 0.5000 0.5000 0.0000  6 Bi 2.77-3.03
Er 0.5000 0.5000 0.5000  2 Bi 2.89
Bi 0.0000 0.0000 0.5000  2 Ce 3.37
Bi 0.0000 0.5000 0.0000  2 Sm 2.77
Bi 0.5000 0.0000 0.0000  2 Sm 2.77
Bi 0.5000 0.5000 0.2559  1 Er 2.89, 1 Sm 3.03
Bi 0.5000 0.5000 0.7441  1 Er 2.89, 1 Sm 3.03

Properties
The formation energy is -27 meV per atom.


Below is an optimized crystal structure of CeSm2ErBi4, with properties calculated at the GGA-PBE level.

Cell: 7.8571 4.5447 7.8706 Å, 90.00 109.45 90.00°
Closest atoms and distances in Å follow each position.
Fractional positions:
Ce 0.0000 0.0000 0.0000  6 Bi 3.21-3.22
Sm 0.0000 0.5000 0.5000  6 Bi 3.24-3.25
Sm 0.5000 0.0000 0.5000  6 Bi 3.21
Er 0.5000 0.5000 0.0000  6 Bi 3.18
Bi 0.2531 0.5000 0.2480  1 Er 3.18, 3 Sm 3.21-3.24, 2 Ce 3.22
Bi 0.2551 0.0000 0.7550  2 Er 3.18, 3 Sm 3.21-3.25, 1 Ce 3.21
Bi 0.7449 0.0000 0.2450  2 Er 3.18, 3 Sm 3.21-3.25, 1 Ce 3.21
Bi 0.7469 0.5000 0.7520  1 Er 3.18, 3 Sm 3.21-3.24, 2 Ce 3.22

Properties
The formation energy is -862 meV per atom.


| no. | energy (eV/cell) |
| --- | --- |
| 1 | -42.9 |
| 2 | -22.5 |
| 3 | -40.8 |
| 4 | -42.4 |